First-principles (PBE-GGA) data for Li2Ni2Sb after structural relaxation, as listed in Alexandria via LeMat-Bulk.

Calculated values
The calculation puts the energy above the most stable polymorph in this dataset at 0.152 eV per atom. The crystal system is tetragonal. For the energy relative to the elements, uncorrected, the calculation gives -0.1158 eV per atom.

The structure in CIF format:
```
data_Li2Ni2Sb
_chemical_formula_sum 'Li4 Ni4 Sb2'
_symmetry_space_group_name_H-M 'P 1'
_symmetry_Int_Tables_number 1
_cell_length_a 6.298
_cell_length_b 6.298
_cell_length_c 3.982
_cell_angle_alpha 90.00
_cell_angle_beta 90.00
_cell_angle_gamma 90.00
loop_
_symmetry_equiv_pos_as_xyz
'x,y,z'
loop_
_atom_site_label
_atom_site_fract_x
_atom_site_fract_y
_atom_site_fract_z
Li1 0.165 0.335 0.000
Li2 0.335 0.835 0.000
Li3 0.665 0.165 0.000
Li4 0.835 0.665 0.000
Ni1 0.132 0.632 0.500
Ni2 0.368 0.132 0.500
Ni3 0.632 0.868 0.500
Ni4 0.868 0.368 0.500
Sb1 0.000 0.000 0.500
Sb2 0.500 0.500 0.500
```

***

First-principles (PBE-GGA) data for SrNiW2 after structural relaxation, as listed in Alexandria via LeMat-Bulk.

Calculated values
The calculation puts the energy above the most stable polymorph in this dataset at 0.509 eV per atom. The crystal system is tetragonal. As for the calculated formation energy: 1.079 eV/atom.

The structure in CIF format:
```
data_SrNiW2
_chemical_formula_sum 'Sr1 Ni1 W2'
_symmetry_space_group_name_H-M 'P 1'
_symmetry_Int_Tables_number 1
_cell_length_a 3.814
_cell_length_b 3.814
_cell_length_c 5.211
_cell_angle_alpha 90.00
_cell_angle_beta 90.00
_cell_angle_gamma 90.00
loop_
_symmetry_equiv_pos_as_xyz
'x,y,z'
loop_
_atom_site_label
_atom_site_fract_x
_atom_site_fract_y
_atom_site_fract_z
Sr1 0.000 0.000 0.000
Ni1 0.500 0.500 0.000
W1 0.000 0.500 0.500
W2 0.500 0.000 0.500
```

***

First-principles (PBE-GGA) data for GaHgHAu after structural relaxation, as listed in Alexandria via LeMat-Bulk.

Calculated values
The calculation puts the energy above the most stable polymorph in this dataset at 0.008 eV per atom. The crystal system is orthorhombic.

The structure in CIF format:
```
data_GaHgHAu
_chemical_formula_sum 'Ga1 Hg1 H1 Au1'
_symmetry_space_group_name_H-M 'P 1'
_symmetry_Int_Tables_number 1
_cell_length_a 2.866
_cell_length_b 4.213
_cell_length_c 6.340
_cell_angle_alpha 90.00
_cell_angle_beta 90.00
_cell_angle_gamma 90.00
loop_
_symmetry_equiv_pos_as_xyz
'x,y,z'
loop_
_atom_site_label
_atom_site_fract_x
_atom_site_fract_y
_atom_site_fract_z
Ga1 0.000 0.000 0.000
Hg1 0.000 0.500 0.444
H1 0.000 0.000 0.259
Au1 0.500 0.500 0.877
```